A plane-wave DFT calculation with PBE was carried out for a relaxed TcAg2Mo crystal.

The calculation puts the energy at -6.0680 eV/atom. As for the formation enthalpy at 0 K: 0.65 eV/atom.

It has space group F-43m (No. 216), with a = 6.386 Å, b = 6.386 Å, c = 6.386 Å, α = 90.00°, β = 90.00° and γ = 90.00°. The asymmetric unit holds Tc at (0.000, 0.000, 0.000), Ag at (0.000, 0.000, 0.500), Ag at (0.250, 0.250, 0.750) and Mo at (0.250, 0.250, 0.250).